Version one
VASP calculation (PBE-GGA) on crystalline Pt2AuCl at its relaxed geometry.

Output
* total magnetic moment: 0.000 μB/atom

a b c (Å): 3.8850 3.8850 10.0632
angles (deg): 78.87 78.87 90.00
Closest atoms and distances in Å follow each position.
Sites, in units of the cell vectors:
Pt 0.3750 0.3740 0.7500  4 Pt 2.74-2.75, 2 Au 2.78, 2 Cl 2.78
Pt 0.8750 0.8760 0.7500  4 Pt 2.74-2.75, 2 Au 2.78, 2 Cl 2.78
Pt 0.1240 0.6250 0.2500  4 Pt 2.74-2.75, 2 Au 2.78, 2 Cl 2.78
Pt 0.6260 0.1250 0.2500  4 Pt 2.74-2.75, 2 Au 2.78, 2 Cl 2.78
Cl 0.5000 0.5000 0.0000  4 Au 2.75, 4 Pt 2.78
Cl 0.2500 0.7500 0.5000  4 Au 2.75, 4 Pt 2.78
Au 0.7500 0.2500 0.5000  4 Cl 2.75, 4 Pt 2.78
Au 0.0000 0.0000 0.0000  4 Cl 2.75, 4 Pt 2.78

***

Version two
VASP calculation (PBE-GGA) on crystalline Pt2AuCl at its relaxed geometry.

Output
* total magnetic moment: 0.000 μB/atom

a b c (Å): 4.0717 4.1137 4.1137
angles (deg): 90.00 90.00 90.00
Closest atoms and distances in Å follow each position.
Sites, in units of the cell vectors:
Au 0.5000 0.5000 0.0000  8 Pt 2.89, 4 Cl 2.91
Pt 0.0000 0.0000 0.0000  4 Cl 2.89, 4 Au 2.89, 4 Pt 2.91
Pt 0.0000 0.5000 0.5000  4 Cl 2.89, 4 Au 2.89, 4 Pt 2.91
Cl 0.5000 0.0000 0.5000  8 Pt 2.89, 4 Au 2.91

***

Stability check: which of them is most stable? version one.

***

Version one
VASP calculation (PBE-GGA) on crystalline Pt2AuCl at its relaxed geometry.

Output
* total magnetic moment: 0.000 μB/atom

a b c (Å): 4.9989 4.9989 2.8318
angles (deg): 90.00 90.00 105.09
Closest atoms and distances in Å follow each position.
Sites, in units of the cell vectors:
Cl 0.0000 0.5000 0.5000  2 Cl 2.83, 8 Pt 2.87, 2 Au 3.04
Pt 0.5000 0.5000 0.0000  4 Pt 2.83-3.04, 4 Cl 2.87, 4 Au 2.87
Pt 0.0000 0.0000 0.0000  4 Pt 2.83-3.04, 4 Au 2.87, 4 Cl 2.87
Au 0.5000 0.0000 0.5000  2 Au 2.83, 8 Pt 2.87, 2 Cl 3.04

***

Version two
VASP calculation (PBE-GGA) on crystalline Pt2AuCl at its relaxed geometry.

Output
* total magnetic moment: 0.000 μB/atom

a b c (Å): 8.6049 8.6049 8.6049
angles (deg): 20.42 20.42 20.42
Closest atoms and distances in Å follow each position.
Sites, in units of the cell vectors:
Pt 0.0016 0.0016 0.0016  3 Cl 2.71, 3 Au 2.78
Pt 0.4984 0.4984 0.4984  3 Cl 2.71, 3 Au 2.78
Cl 0.7500 0.7500 0.7500  6 Pt 2.71
Au 0.2500 0.2500 0.2500  6 Pt 2.78, 6 Au 3.05

***

Stability check: which of them is most stable? version two.

***

Version one
VASP calculation (PBE-GGA) on crystalline Pt2AuCl at its relaxed geometry.

Output
* total magnetic moment: 0.000 μB/atom

a b c (Å): 3.4834 3.4834 7.7278
angles (deg): 88.38 88.38 60.32
Closest atoms and distances in Å follow each position.
Sites, in units of the cell vectors:
Pt 0.7107 0.7107 0.7808  3 Pt 2.58, 3 Au 2.70-2.71
Pt 0.0365 0.0365 0.9898  3 Cl 2.50-2.52, 3 Pt 2.58
Cl 0.3650 0.3650 0.1834  3 Pt 2.50-2.52
Au 0.3878 0.3878 0.5460  3 Pt 2.70-2.71, 1 Cl 2.81

***

Version two
VASP calculation (PBE-GGA) on crystalline Pt2AuCl at its relaxed geometry.

Output
* total magnetic moment: 0.000 μB/atom

a b c (Å): 5.5203 5.5203 5.2770
angles (deg): 61.56 61.56 29.57
Closest atoms and distances in Å follow each position.
Sites, in units of the cell vectors:
Pt 0.5059 0.5059 0.4942  2 Cl 2.67, 2 Au 2.76, 2 Pt 2.82
Pt 0.9941 0.9941 0.0058  2 Cl 2.67, 2 Au 2.76, 2 Pt 2.82
Cl 0.2500 0.2500 0.2500  4 Pt 2.67, 2 Cl 2.82
Au 0.7500 0.7500 0.7500  4 Pt 2.76, 2 Au 2.82, 4 Cl 2.99

***

Stability check: which of them is most stable? version one.

***

Version one
VASP calculation (PBE-GGA) on crystalline Pt2AuCl at its relaxed geometry.

Output
* total magnetic moment: 0.004 μB/atom

a b c (Å): 4.6026 4.6026 4.6026
angles (deg): 120.10 120.10 89.83
Closest atoms and distances in Å follow each position.
Sites, in units of the cell vectors:
Au 0.5000 0.5000 0.0000  4 Cl 2.82, 4 Pt 2.82
Pt 0.0000 0.0000 0.0000  4 Pt 2.82, 4 Cl 2.82
Pt 0.2500 0.7500 0.5000  4 Pt 2.82, 4 Au 2.82
Cl 0.7500 0.2500 0.5000  4 Au 2.82, 4 Pt 2.82

***

Version two
VASP calculation (PBE-GGA) on crystalline Pt2AuCl at its relaxed geometry.

Output
* total magnetic moment: 0.000 μB/atom

a b c (Å): 3.2058 3.2086 7.1116
angles (deg): 90.00 90.00 90.00
Closest atoms and distances in Å follow each position.
Sites, in units of the cell vectors:
Pt 0.5000 0.5000 0.2290  4 Pt 2.67, 4 Au 2.82
Pt 0.0000 0.0000 0.0322  4 Pt 2.67, 4 Cl 2.92
Au 0.0000 0.0000 0.4642  5 Pt 2.82-3.07
Cl 0.5000 0.5000 0.7746  5 Pt 2.92-3.23, 4 Au 3.17, 4 Cl 3.21

***

Version three
VASP calculation (PBE-GGA) on crystalline Pt2AuCl at its relaxed geometry.

Output
* total magnetic moment: 0.000 μB/atom

a b c (Å): 2.9240 2.9240 7.9747
angles (deg): 90.00 90.00 90.00
Closest atoms and distances in Å follow each position.
Sites, in units of the cell vectors:
Au 0.5000 0.5000 0.2500  8 Pt 2.86, 4 Au 2.92
Pt 0.0000 0.0000 0.4969  4 Au 2.86, 4 Cl 2.89, 4 Pt 2.92
Pt 0.0000 0.0000 0.0031  4 Au 2.86, 4 Cl 2.89, 4 Pt 2.92
Cl 0.5000 0.5000 0.7500  8 Pt 2.89, 4 Cl 2.92

***

Version four
VASP calculation (PBE-GGA) on crystalline Pt2AuCl at its relaxed geometry.

Output
* total magnetic moment: 0.000 μB/atom

a b c (Å): 4.9117 4.9117 2.8528
angles (deg): 90.00 90.00 90.00
Closest atoms and distances in Å follow each position.
Sites, in units of the cell vectors:
Au 0.5000 0.0000 0.5000  8 Pt 2.84, 2 Au 2.85
Pt 0.5000 0.5000 0.0000  4 Au 2.84, 4 Cl 2.84, 2 Pt 2.85
Pt 0.0000 0.0000 0.0000  4 Cl 2.84, 4 Au 2.84, 2 Pt 2.85
Cl 0.0000 0.5000 0.5000  8 Pt 2.84, 2 Cl 2.85

***

Stability check: which of them is most stable? version two.

***

Version one
VASP calculation (PBE-GGA) on crystalline Pt2AuCl at its relaxed geometry.

Output
* total magnetic moment: 0.000 μB/atom

a b c (Å): 2.8323 5.0692 4.8001
angles (deg): 90.00 90.00 90.00
Closest atoms and distances in Å follow each position.
Sites, in units of the cell vectors:
Cl 0.0000 0.5000 0.5000  4 Pt 2.79, 2 Cl 2.83, 4 Au 2.90
Pt 0.0000 0.0000 0.0000  4 Au 2.79, 6 Pt 2.83-2.90
Pt 0.5000 0.5000 0.0000  4 Cl 2.79, 6 Pt 2.83-2.90
Au 0.5000 0.0000 0.5000  4 Pt 2.79, 2 Au 2.83, 4 Cl 2.90

***

Version two
VASP calculation (PBE-GGA) on crystalline Pt2AuCl at its relaxed geometry.

Output
* total magnetic moment: 0.000 μB/atom

a b c (Å): 2.9879 2.9879 9.2297
angles (deg): 90.00 90.00 122.21
Closest atoms and distances in Å follow each position.
Sites, in units of the cell vectors:
Pt 0.0000 0.0000 0.9952  2 Cl 2.50, 2 Pt 2.65
Pt 0.5000 0.5000 0.2355  4 Pt 2.65-2.89, 2 Au 2.79
Cl 0.5000 0.5000 0.7746  2 Pt 2.50
Au 0.0000 0.0000 0.4947  2 Pt 2.79, 6 Au 2.89-2.99, 2 Cl 2.96

***

Stability check: which of them is most stable? version two.

***

Version one
VASP calculation (PBE-GGA) on crystalline Pt2AuCl at its relaxed geometry.

Output
* total magnetic moment: 0.000 μB/atom

a b c (Å): 2.9755 2.9755 9.0038
angles (deg): 90.00 90.00 121.70
Closest atoms and distances in Å follow each position.
Sites, in units of the cell vectors:
Cl 0.5000 0.5000 0.7500  4 Pt 2.61, 2 Cl 2.90
Pt 0.0000 0.0000 0.5094  2 Cl 2.61, 2 Au 2.75, 2 Pt 2.90
Pt 0.0000 0.0000 0.9906  2 Cl 2.61, 2 Au 2.75, 2 Pt 2.90
Au 0.5000 0.5000 0.2500  4 Pt 2.75, 6 Au 2.90-2.98

***

Version two
VASP calculation (PBE-GGA) on crystalline Pt2AuCl at its relaxed geometry.

Output
* total magnetic moment: 0.000 μB/atom

a b c (Å): 5.6944 5.6944 5.6944
angles (deg): 150.93 126.86 61.72
Closest atoms and distances in Å follow each position.
Sites, in units of the cell vectors:
Au 0.4870 0.4870 0.0000  2 Au 2.86, 6 Pt 2.90-2.92
Pt 0.2284 0.7284 0.5000  4 Pt 2.64-2.86, 2 Au 2.90
Pt 0.0009 0.0009 0.0000  2 Cl 2.56, 4 Pt 2.64-2.86
Cl 0.7837 0.2837 0.5000  2 Pt 2.56, 2 Cl 2.86

***

Stability check: which of them is most stable? version one.